# ZrBWSe PBE-GGA optimized geometry
data_ZrBWSe
_symmetry_space_group_name_H-M 'C 1 m 1'
_symmetry_Int_Tables_number 8
_cell_length_a 8.6957
_cell_length_b 3.2734
_cell_length_c 5.7071
_cell_angle_alpha 90.00
_cell_angle_beta 127.13
_cell_angle_gamma 90.00
loop_
_symmetry_equiv_pos_as_xyz
'x,y,z'
'x,-y,z'
'x+1/2,y+1/2,z'
'x+1/2,-y+1/2,z'
loop_
_atom_site_label
_atom_site_type_symbol
_atom_site_fract_x
_atom_site_fract_y
_atom_site_fract_z
Zr1 Zr 0.0000 0.0000 0.0000
B1 B 0.2484 0.0000 0.8676
W1 W 0.0615 0.5000 0.5690
Se1 Se 0.2883 0.5000 0.4216
# Uncorrected formation energy, eV per atom: -0.179
# Spin magnetization, μB per cell: 0.00
# E above lowest polymorph, eV/atom: 0.363